(1)
The following is a DFT calculation (PBE-GGA) of a relaxed structure of Ba2RhBr.

Calculated values
E, eV per atom: -4.04
Crystal system: orthorhombic
E_form (uncorrected), eV/atom: -0.8246
Space group: Imm2 (44)
Energy above the most stable polymorph in this dataset, meV/atom: 107

Structure (POSCAR):
```
Ba2RhBr
1.0
-2.048 2.079 8.390
2.048 -2.079 8.390
2.048 2.079 -8.390
Ba Rh Br
2 1 1
Direct
0.000 0.000 0.000 Ba
0.714 0.214 0.500 Ba
0.130 0.630 0.500 Rh
0.388 0.388 0.000 Br
```

---

(2)
The following is a DFT calculation (PBE-GGA) of a relaxed structure of BaRhBr.

Calculated values
E, eV per atom: -4.06
Crystal system: cubic
E_form (uncorrected), eV/atom: -0.4079
Space group: F-43m (216)
Energy above the most stable polymorph in this dataset, meV/atom: 563

Structure (POSCAR):
```
BaRhBr
1.0
0.000 3.463 3.463
3.463 0.000 3.463
3.463 3.463 0.000
Ba Rh Br
1 1 1
Direct
0.000 0.000 0.000 Ba
0.250 0.250 0.250 Rh
0.500 0.500 0.500 Br
```

---

Which value of E does entry 2 give? -4.06 eV per atom

---

Which value of E_form (uncorrected) does entry 1 give? -0.8246 eV/atom

---

E_form (uncorrected) of number 2 (BaRhBr)? -0.4079 eV/atom